(1)
# GGA-PBE Ac2TbSm, optimized geometry
# Polymorph energy (0 for the lowest one) = 0.08 eV per formula unit
# ΔE_f = 0.0562 eV/atom
data_Ac2TbSm
_chemical_formula_sum 'Ac2 Tb1 Sm1'
_cell_length_a 3.8223
_cell_length_b 3.8223
_cell_length_c 12.3683
_cell_angle_alpha 81.11
_cell_angle_beta 81.11
_cell_angle_gamma 60.00
_space_group_name_H-M_alt 'P 1'
_space_group_IT_number 1
_space_group_name_Hall 'P 1'
loop_
_atom_site_label
_atom_site_type_symbol
_atom_site_fract_x
_atom_site_fract_y
_atom_site_fract_z
Tb1 Tb 0.6676 0.6676 0.9972
Ac1 Ac 0.2505 0.2505 0.2486
Ac2 Ac 0.0828 0.0828 0.7517
Sm1 Sm 0.4992 0.4992 0.5025

---

(2)
# GGA-PBE CuPd2Rh2, optimized geometry
# Polymorph energy (0 for the lowest one) = 0.00 eV per formula unit
# ΔE_f = 0.3482 eV/atom
data_CuPd2Rh2
_chemical_formula_sum 'Cu2 Pd4 Rh4'
_cell_length_a 6.3908
_cell_length_b 6.3908
_cell_length_c 3.8251
_cell_angle_alpha 90.00
_cell_angle_beta 90.00
_cell_angle_gamma 90.00
_space_group_name_H-M_alt 'P 1'
_space_group_IT_number 1
_space_group_name_Hall 'P 1'
loop_
_atom_site_label
_atom_site_type_symbol
_atom_site_fract_x
_atom_site_fract_y
_atom_site_fract_z
Pd1 Pd 0.3389 0.1611 0.5000
Rh1 Rh 0.6379 0.1379 0.0000
Cu1 Cu 0.0000 0.0000 0.0000
Pd2 Pd 0.1611 0.6611 0.5000
Rh2 Rh 0.3621 0.8621 0.0000
Rh3 Rh 0.8621 0.6379 0.0000
Pd3 Pd 0.8389 0.3389 0.5000
Cu2 Cu 0.5000 0.5000 0.0000
Pd4 Pd 0.6611 0.8389 0.5000
Rh4 Rh 0.1379 0.3621 0.0000

---

(3)
# GGA-PBE SiHgBiPb2, optimized geometry
# Formation energy from raw total energies = 79.5 kJ per mole of atoms
data_SiHgBiPb2
_chemical_formula_sum 'Si1 Hg1 Bi1 Pb2'
_cell_length_a 6.1827
_cell_length_b 5.2328
_cell_length_c 6.1827
_cell_angle_alpha 90.00
_cell_angle_beta 90.00
_cell_angle_gamma 90.00
_space_group_name_H-M_alt 'P 1'
_space_group_IT_number 1
_space_group_name_Hall 'P 1'
loop_
_atom_site_label
_atom_site_type_symbol
_atom_site_fract_x
_atom_site_fract_y
_atom_site_fract_z
Pb1 Pb 0.5000 0.0000 0.0000
Bi1 Bi 0.0000 0.0000 0.0000
Hg1 Hg 0.5000 0.5000 0.5000
Pb2 Pb 0.0000 0.0000 0.5000
Si1 Si 0.0000 0.5000 0.0000

---

(4)
# GGA-PBE ZrZnCo, optimized geometry
# ΔE_f = -0.2753 eV/atom
data_ZrZnCo
_chemical_formula_sum 'Zr2 Zn2 Co2'
_cell_length_a 3.6136
_cell_length_b 4.9386
_cell_length_c 6.8335
_cell_angle_alpha 59.68
_cell_angle_beta 90.02
_cell_angle_gamma 68.61
_space_group_name_H-M_alt 'P 1'
_space_group_IT_number 1
_space_group_name_Hall 'P 1'
loop_
_atom_site_label
_atom_site_type_symbol
_atom_site_fract_x
_atom_site_fract_y
_atom_site_fract_z
Zn1 Zn 0.6274 0.0365 0.7355
Zr1 Zr 0.2269 0.8368 0.4703
Co1 Co 0.9432 0.4056 0.4613
Zn2 Zn 0.9670 0.3566 0.8601
Co2 Co 0.6512 0.9875 0.1343
Zr2 Zr 0.3676 0.5564 0.1253

---

(5)
# GGA-PBE ScPO2F, optimized geometry
# Formation energy from raw total energies = -83.5 kJ per mole of atoms
data_ScPO2F
_chemical_formula_sum 'Sc1 P1 O2 F1'
_cell_length_a 3.9190
_cell_length_b 3.9190
_cell_length_c 5.6665
_cell_angle_alpha 90.00
_cell_angle_beta 90.00
_cell_angle_gamma 90.00
_space_group_name_H-M_alt 'P 1'
_space_group_IT_number 1
_space_group_name_Hall 'P 1'
loop_
_atom_site_label
_atom_site_type_symbol
_atom_site_fract_x
_atom_site_fract_y
_atom_site_fract_z
P1 P 0.0000 0.0000 0.5000
O1 O 0.0000 0.5000 0.0000
Sc1 Sc 0.0000 0.0000 0.0000
O2 O 0.5000 0.0000 0.0000
F1 F 0.5000 0.5000 0.5000

---

no.,total DFT energy (no corrections) (eV/atom),total magnetic moment (μB per formula unit)
1,-4.3354,0.00
2,-5.4888,0.50
3,-2.5806,0.00
4,-5.9180,0.00
5,-5.5715,1.51